No. 1
VASP calculation (PBE) on a relaxed Mg2SiRu crystal.

```
Mg2SiRu
1.0
-3.8696 -2.4929 -1.7571
1.6088 -1.5096 4.4055
-1.7902 1.8671 1.2935
Mg Ru Si
2 1 1
direct
0.0000 0.0000 0.0000
0.5000 0.5000 0.0000
0.5000 0.0000 0.5000
0.0000 0.5000 0.5000
```

Properties
* formation energy (no corrections): 0.037 eV/atom
* E_tot: -4.435 eV/atom
* M_tot: 0.127 μB/atom
* crystal system: orthorhombic

---

No. 2
VASP calculation (PBE) on a relaxed Mg2SiRu2 crystal.

```
Mg2SiRu2
1.0
-3.9067 4.5903 -1.2824
-4.6990 -3.9869 0.0442
-0.5555 0.7013 4.2026
Ru Si Mg
4 2 4
direct
0.3545 0.8545 0.0000
0.8545 0.6455 0.0000
0.6455 0.1455 0.0000
0.1455 0.3545 0.0000
0.0000 0.0000 0.0000
0.5000 0.5000 0.0000
0.1656 0.6656 0.5000
0.6656 0.8344 0.5000
0.8344 0.3344 0.5000
0.3344 0.1656 0.5000
```

Properties
* formation energy (no corrections): -0.345 eV/atom
* E_tot: -5.778 eV/atom
* M_tot: 0.000 μB/atom
* crystal system: tetragonal

---

No. 3
VASP calculation (PBE) on a relaxed Mg2SiRu crystal.

```
Mg2SiRu
1.0
3.9188 0.0000 0.0000
0.0000 3.9208 0.0000
0.0000 0.0000 4.0264
Mg Ru Si
2 1 1
direct
0.0000 0.0000 0.0000
0.5000 0.5000 0.0000
0.5000 0.0000 0.5000
0.0000 0.5000 0.5000
```

Properties
* formation energy (no corrections): -0.070 eV/atom
* E_tot: -4.542 eV/atom
* M_tot: 0.000 μB/atom
* crystal system: tetragonal